DFT (GGA+U) results for a geometry-optimized CrSbTe2O structure.

Output
SG = No. 123
ΔE to the lowest computed polymorph = 0.722 eV per atom

Cell: 5.265 5.265 5.239 Å, 90.00 90.00 90.00°
Last column: magnetic moment on the atom in μB.
Atoms (fractional coordinates):
1 Sb 0.000 0.000 0.500  -0.20
2 Te 0.000 0.500 0.000  0.00
3 Te 0.500 0.000 0.000  0.00
4 O 0.500 0.500 0.500  1.11
5 Cr 0.000 0.000 0.000  3.55